No. 1
! Lu2Fe12P7, relaxed, DFT PBE; values from VASP
! Calculated density in g/cm3: 8.25
! Formation enthalpy at 0 K in eV/atom: -0.73
! Energy in eV/atom: -7.80
! Space-group type: P-6
&SYSTEM
  ibrav = 0, nat = 21, ntyp = 3
/
ATOMIC_SPECIES
Fe 55.84 Fe.upf
P 30.97 P.upf
Lu 174.97 Lu.upf
CELL_PARAMETERS angstrom
-2.816 -1.526 1.677
5.588 -4.419 5.363
-2.977 8.071 2.343
ATOMIC_POSITIONS crystal
Fe 0.500 0.120 0.905
Fe 0.500 0.952 0.567
Fe 0.000 0.276 0.157
Fe 0.500 0.095 0.215
Fe 0.000 0.056 0.428
Fe 0.000 0.572 0.628
Fe 0.500 0.615 0.048
Fe 0.000 0.372 0.944
Fe 0.000 0.843 0.119
Fe 0.000 0.881 0.724
Fe 0.500 0.785 0.880
Fe 0.500 0.433 0.385
P 0.500 0.886 0.289
P 0.000 0.296 0.413
P 0.000 0.117 0.704
P 0.000 0.000 0.000
P 0.500 0.710 0.596
P 0.500 0.404 0.114
P 0.000 0.587 0.884
Lu 0.000 0.667 0.333
Lu 0.500 0.334 0.667

No. 2
! Er3Ga12Ni, relaxed, DFT PBE; values from VASP
! Calculated density in g/cm3: 7.96
! Formation enthalpy at 0 K in eV/atom: -0.40
! Energy in eV/atom: -3.88
! Space-group type: P4/mmm
&SYSTEM
  ibrav = 0, nat = 16, ntyp = 3
/
ATOMIC_SPECIES
Ga 69.72 Ga.upf
Er 167.26 Er.upf
Ni 58.69 Ni.upf
CELL_PARAMETERS angstrom
-3.418 -2.364 -0.936
1.561 -3.189 2.353
-7.566 5.827 12.913
ATOMIC_POSITIONS crystal
Ga 0.500 0.000 0.633
Ga 0.000 0.500 0.633
Ga 0.000 0.500 0.101
Ga 0.000 0.500 0.899
Ga 0.500 0.000 0.899
Ga 0.500 0.000 0.367
Ga 0.500 0.500 0.500
Ga 0.000 0.500 0.367
Ga 0.500 0.500 0.000
Ga 0.500 0.500 0.761
Ga 0.500 0.500 0.239
Ga 0.500 0.000 0.101
Er 0.000 0.000 0.233
Er 0.000 0.000 0.500
Er 0.000 0.000 0.767
Ni 0.000 0.000 0.000

No. 3
! NpBeS, relaxed, DFT PBE; values from VASP
! E_form (uncorrected) in eV/atom: -0.681
! Calculated density in g/cm3: 8.84
! Energy in eV/atom: -7.61
! Space-group type: Cmcm
&SYSTEM
  ibrav = 0, nat = 6, ntyp = 3
/
ATOMIC_SPECIES
Np 237.00 Np.upf
S 32.06 S.upf
Be 9.01 Be.upf
CELL_PARAMETERS angstrom
-2.764 0.447 -2.879
-0.243 -3.623 -0.330
-5.276 -1.914 4.768
ATOMIC_POSITIONS crystal
Np 0.750 0.134 0.732
Np 0.250 0.866 0.268
S 0.750 0.329 0.342
S 0.250 0.671 0.658
Be 0.750 0.472 0.055
Be 0.250 0.528 0.945

No. 4
! Sm2GaBi, relaxed, DFT PBE; values from VASP
! ΔE to the lowest computed polymorph in meV per atom: 118
! Calculated density in g/cm3: 8.73
! Formation enthalpy at 0 K in eV/atom: -0.59
! Energy in eV/atom: -4.68
! Space-group type: P4/mmm
&SYSTEM
  ibrav = 0, nat = 4, ntyp = 3
/
ATOMIC_SPECIES
Ga 69.72 Ga.upf
Sm 150.36 Sm.upf
Bi 208.98 Bi.upf
CELL_PARAMETERS angstrom
4.021 0.000 0.000
0.000 4.021 0.000
0.000 0.000 6.815
ATOMIC_POSITIONS crystal
Ga 0.500 0.500 0.500
Sm 0.000 0.000 0.745
Sm 0.000 0.000 0.255
Bi 0.500 0.500 0.000

No. 5
! Pm8GeSb3Te4, relaxed, DFT PBE; values from VASP
! E_form (uncorrected) in eV/atom: -1.320
! Calculated density in g/cm3: 6.95
! Energy in eV/atom: -5.54
! Space-group type: R-3m
&SYSTEM
  ibrav = 0, nat = 16, ntyp = 4
/
ATOMIC_SPECIES
Pm 145.00 Pm.upf
Sb 121.76 Sb.upf
Te 127.60 Te.upf
Ge 72.64 Ge.upf
CELL_PARAMETERS angstrom
-7.758 3.870 -2.070
-4.400 -7.065 3.283
5.911 4.309 5.093
ATOMIC_POSITIONS crystal
Pm 0.747 0.740 0.493
Pm 0.238 0.732 0.994
Pm 0.756 0.732 0.994
Pm 0.762 0.268 0.524
Pm 0.253 0.260 0.507
Pm 0.238 0.732 0.476
Pm 0.244 0.268 0.006
Pm 0.762 0.268 0.006
Sb 0.500 0.500 0.500
Sb 0.000 0.500 0.500
Sb 0.500 0.500 0.000
Te 0.500 0.000 0.500
Te 0.000 0.000 0.500
Te 0.000 0.000 0.000
Te 0.500 0.000 0.000
Ge 0.000 0.500 0.000

No. 6
! BeInMoCl2, relaxed, DFT PBE; values from VASP
! E_form (uncorrected) in eV/atom: 0.514
! Calculated density in g/cm3: 3.77
! Energy in eV/atom: -3.68
! Space-group type: P4/mmm
&SYSTEM
  ibrav = 0, nat = 5, ntyp = 4
/
ATOMIC_SPECIES
In 114.82 In.upf
Cl 35.45 Cl.upf
Mo 95.94 Mo.upf
Be 9.01 Be.upf
CELL_PARAMETERS angstrom
-2.071 4.102 0.706
-5.033 -2.785 1.418
1.313 -0.104 4.458
ATOMIC_POSITIONS crystal
In 0.000 0.500 0.000
Cl 0.000 0.000 0.500
Cl 0.500 0.000 0.000
Mo 0.000 0.000 0.000
Be 0.500 0.500 0.500

No. 7
! Rb2YTe, relaxed, DFT PBE; values from VASP
! E_form (uncorrected) in eV/atom: -0.209
! Calculated density in g/cm3: 2.53
! Energy in eV/atom: -3.09
! Space-group type: I-42d
&SYSTEM
  ibrav = 0, nat = 8, ntyp = 3
/
ATOMIC_SPECIES
Te 127.60 Te.upf
Y 88.91 Y.upf
Rb 85.47 Rb.upf
CELL_PARAMETERS angstrom
-6.255 4.476 10.699
9.550 -4.909 7.637
3.113 2.318 8.964
ATOMIC_POSITIONS crystal
Te 0.000 0.000 0.000
Te 0.750 0.250 0.500
Y 0.250 0.750 0.500
Y 0.500 0.500 0.000
Rb 0.875 0.008 0.750
Rb 0.758 0.125 0.250
Rb 0.375 0.242 0.750
Rb 0.992 0.625 0.250

No. 8
! LiLa2Ag2, relaxed, DFT PBE; values from VASP
! ΔE to the lowest computed polymorph in meV per atom: 0
! Calculated density in g/cm3: 5.95
! Formation enthalpy at 0 K in eV/atom: -0.18
! Energy in eV/atom: -3.68
! Space-group type: P4/mbm
&SYSTEM
  ibrav = 0, nat = 10, ntyp = 3
/
ATOMIC_SPECIES
Li 6.94 Li.upf
La 138.91 La.upf
Ag 107.87 Ag.upf
CELL_PARAMETERS angstrom
-5.644 5.721 1.325
-3.387 -4.672 5.748
2.481 1.775 2.904
ATOMIC_POSITIONS crystal
Li 0.000 0.000 0.000
Li 0.500 0.500 0.000
La 0.832 0.332 0.500
La 0.668 0.832 0.500
La 0.168 0.668 0.500
La 0.332 0.168 0.500
Ag 0.630 0.130 0.000
Ag 0.370 0.870 0.000
Ag 0.870 0.630 0.000
Ag 0.130 0.370 0.000

No. 9
! Mg3Ga2Sn2, relaxed, DFT PBE; values from VASP
! ΔE to the lowest computed polymorph in meV per atom: 0
! Calculated density in g/cm3: 4.50
! Formation enthalpy at 0 K in eV/atom: -0.08
! Energy in eV/atom: -2.77
! Space-group type: P-1
&SYSTEM
  ibrav = 0, nat = 7, ntyp = 3
/
ATOMIC_SPECIES
Mg 24.30 Mg.upf
Sn 118.71 Sn.upf
Ga 69.72 Ga.upf
CELL_PARAMETERS angstrom
4.417 -0.011 0.006
-2.207 7.254 0.768
0.000 -0.228 5.161
ATOMIC_POSITIONS crystal
Mg 0.000 0.000 0.000
Mg 0.727 0.453 0.261
Mg 0.273 0.547 0.739
Sn 0.627 0.252 0.792
Sn 0.373 0.748 0.208
Ga 0.095 0.189 0.463
Ga 0.905 0.811 0.537

No. 10
! TlSbP, relaxed, DFT PBE; values from VASP
! ΔE to the lowest computed polymorph in meV per atom: 52
! E_form (uncorrected) in eV/atom: 0.142
! Calculated density in g/cm3: 7.60
! Energy in eV/atom: -3.82
! Space-group type: I4mm
&SYSTEM
  ibrav = 0, nat = 3, ntyp = 3
/
ATOMIC_SPECIES
Sb 121.76 Sb.upf
P 30.97 P.upf
Tl 204.38 Tl.upf
CELL_PARAMETERS angstrom
-3.797 2.377 4.787
-4.286 4.943 0.430
2.169 -5.222 -3.319
ATOMIC_POSITIONS crystal
Sb 0.376 0.376 0.000
P 0.967 0.967 0.000
Tl 0.657 0.657 0.000

Please write out number 3 again, unchanged.
! NpBeS, relaxed, DFT PBE; values from VASP
! E_form (uncorrected) in eV/atom: -0.681
! Calculated density in g/cm3: 8.84
! Energy in eV/atom: -7.61
! Space-group type: Cmcm
&SYSTEM
  ibrav = 0, nat = 6, ntyp = 3
/
ATOMIC_SPECIES
Np 237.00 Np.upf
S 32.06 S.upf
Be 9.01 Be.upf
CELL_PARAMETERS angstrom
-2.764 0.447 -2.879
-0.243 -3.623 -0.330
-5.276 -1.914 4.768
ATOMIC_POSITIONS crystal
Np 0.750 0.134 0.732
Np 0.250 0.866 0.268
S 0.750 0.329 0.342
S 0.250 0.671 0.658
Be 0.750 0.472 0.055
Be 0.250 0.528 0.945